Below is a relaxed structure of Pm3PrNd2S6, with properties calculated at the PBE level.

Output
The calculation puts the magnetic moment at 0.0000 μB per atom. The theoretical density comes out at 6194 kg/m³. The calculation puts the formation energy without anion corrections at -2.0330 eV per atom. As for the density of states at the Fermi level: 0.4332 states/eV per atom.

Structure (CIF):
```
data_Pm3PrNd2S6
_chemical_formula_sum 'Pm3 Pr1 Nd2 S6'
_space_group_name_H-M_alt 'P 1'
_space_group_IT_number 1
_cell_length_a 7.0322
_cell_length_b 7.0322
_cell_length_c 7.0276
_cell_angle_alpha 99.58
_cell_angle_beta 99.58
_cell_angle_gamma 120.16
loop_
_space_group_symop_operation_xyz
'x,y,z'
loop_
_atom_site_label
_atom_site_type_symbol
_atom_site_fract_x
_atom_site_fract_y
_atom_site_fract_z
_atom_site_occupancy
Pm1 Pm 0.1660 0.8340 0.5000 1
Pm2 Pm 0.8340 0.1660 0.5000 1
Pm3 Pm 0.5000 0.5000 0.5000 1
Pr1 Pr 0.0000 0.0000 0.0000 1
Nd1 Nd 0.3334 0.6666 0.0000 1
Nd2 Nd 0.6666 0.3334 0.0000 1
S1 S 0.9152 0.5801 0.7456 1
S2 S 0.7496 0.7496 0.2539 1
S3 S 0.0848 0.4199 0.2544 1
S4 S 0.5801 0.9152 0.7456 1
S5 S 0.2504 0.2504 0.7461 1
S6 S 0.4199 0.0848 0.2544 1
```

Below is a relaxed structure of Ti3MnTc4, with properties calculated at the PBE level.

Output
The formation enthalpy at 0 K comes out at -0.3472 eV per atom. The calculation puts the magnetic moment at 0.1513 μB per atom. The theoretical density comes out at 8430 kg/m³. As for the density of states at the Fermi level: 0.9623 states/eV per atom.

Structure (CIF):
```
data_Ti3MnTc4
_chemical_formula_sum 'Ti3 Mn1 Tc4'
_space_group_name_H-M_alt 'P 1'
_space_group_IT_number 1
_cell_length_a 3.0774
_cell_length_b 3.0774
_cell_length_c 12.2826
_cell_angle_alpha 90.00
_cell_angle_beta 90.00
_cell_angle_gamma 90.00
loop_
_space_group_symop_operation_xyz
'x,y,z'
loop_
_atom_site_label
_atom_site_type_symbol
_atom_site_fract_x
_atom_site_fract_y
_atom_site_fract_z
_atom_site_occupancy
Mn1 Mn 0.5000 0.5000 0.0000 1
Tc1 Tc 0.0000 0.0000 0.8828 1
Tc2 Tc 0.0000 0.0000 0.1172 1
Tc3 Tc 0.0000 0.0000 0.3715 1
Tc4 Tc 0.0000 0.0000 0.6285 1
Ti1 Ti 0.5000 0.5000 0.2471 1
Ti2 Ti 0.5000 0.5000 0.5000 1
Ti3 Ti 0.5000 0.5000 0.7529 1
```

Below is a relaxed structure of H2IrAu2, with properties calculated at the PBE level.

Output
The calculation puts the magnetic moment at 0.0000 μB per atom. The theoretical density comes out at 15572 kg/m³. The total energy comes out at -4.1721 eV per atom. As for the density of states at the Fermi level: 0.3644 states/eV per atom.

Structure (CIF):
```
data_H2IrAu2
_chemical_formula_sum 'H4 Ir2 Au4'
_space_group_name_H-M_alt 'P 1'
_space_group_IT_number 1
_cell_length_a 5.5589
_cell_length_b 5.5589
_cell_length_c 4.0594
_cell_angle_alpha 90.00
_cell_angle_beta 90.00
_cell_angle_gamma 90.00
loop_
_space_group_symop_operation_xyz
'x,y,z'
loop_
_atom_site_label
_atom_site_type_symbol
_atom_site_fract_x
_atom_site_fract_y
_atom_site_fract_z
_atom_site_occupancy
H1 H 0.2501 0.7501 0.0000 1
H2 H 0.7501 0.7499 0.0000 1
H3 H 0.7499 0.2499 0.0000 1
H4 H 0.2499 0.2501 0.0000 1
Ir1 Ir 0.0000 0.0000 0.0000 1
Ir2 Ir 0.5000 0.5000 0.0000 1
Au1 Au 0.2500 0.7500 0.5000 1
Au2 Au 0.7500 0.7500 0.5000 1
Au3 Au 0.7500 0.2500 0.5000 1
Au4 Au 0.2500 0.2500 0.5000 1
```

Below is a relaxed structure of Rb2OsI2Cl4, with properties calculated at the PBE level.

Output
The calculation puts the magnetic moment at 0.2225 μB per atom. The theoretical density comes out at 4066 kg/m³. The calculation puts the formation energy without anion corrections at -0.9663 eV per atom. As for the density of states at the Fermi level: 0.5601 states/eV per atom.

Structure (CIF):
```
data_Rb2OsI2Cl4
_chemical_formula_sum 'Rb2 Os1 I2 Cl4'
_space_group_name_H-M_alt 'P 1'
_space_group_IT_number 1
_cell_length_a 7.5476
_cell_length_b 7.5476
_cell_length_c 7.5476
_cell_angle_alpha 91.97
_cell_angle_beta 118.87
_cell_angle_gamma 118.87
loop_
_space_group_symop_operation_xyz
'x,y,z'
loop_
_atom_site_label
_atom_site_type_symbol
_atom_site_fract_x
_atom_site_fract_y
_atom_site_fract_z
_atom_site_occupancy
Rb1 Rb 0.5000 0.7500 0.2500 1
Rb2 Rb 0.5000 0.2500 0.7500 1
Os1 Os 0.0000 0.0000 0.0000 1
I1 I 0.0000 0.7414 0.7414 1
I2 I 0.0000 0.2586 0.2586 1
Cl1 Cl 0.0000 0.7830 0.2170 1
Cl2 Cl 0.5661 0.7830 0.7830 1
Cl3 Cl 0.0000 0.2170 0.7830 1
Cl4 Cl 0.4339 0.2170 0.2170 1
```

Below is a relaxed structure of Ba3PmPr3Te8, with properties calculated at the PBE level.

Output
The calculation puts the magnetic moment at 0.0000 μB per atom. The theoretical density comes out at 5581 kg/m³. The calculation puts the formation energy without anion corrections at -1.5798 eV per atom. As for the density of states at the Fermi level: 0.2847 states/eV per atom.

Structure (CIF):
```
data_Ba3PmPr3Te8
_chemical_formula_sum 'Ba3 Pm1 Pr3 Te8'
_space_group_name_H-M_alt 'P 1'
_space_group_IT_number 1
_cell_length_a 9.2409
_cell_length_b 9.2357
_cell_length_c 9.6548
_cell_angle_alpha 118.55
_cell_angle_beta 90.01
_cell_angle_gamma 119.99
loop_
_space_group_symop_operation_xyz
'x,y,z'
loop_
_atom_site_label
_atom_site_type_symbol
_atom_site_fract_x
_atom_site_fract_y
_atom_site_fract_z
_atom_site_occupancy
Ba1 Ba 0.0000 0.0000 0.0000 1
Ba2 Ba 0.0000 0.5000 0.0000 1
Ba3 Ba 0.5000 0.5000 0.0000 1
Pm1 Pm 0.0000 0.0000 0.5000 1
Pr1 Pr 0.5000 0.0000 0.5000 1
Pr2 Pr 0.5000 0.5000 0.5000 1
Pr3 Pr 0.0000 0.5000 0.5000 1
Te1 Te 0.2576 0.5152 0.2728 1
Te2 Te 0.7424 0.4848 0.7272 1
Te3 Te 0.7591 0.5182 0.2764 1
Te4 Te 0.2409 0.4818 0.7236 1
Te5 Te 0.7590 0.0174 0.2763 1
Te6 Te 0.2410 0.9826 0.7237 1
Te7 Te 0.2582 0.0173 0.2764 1
Te8 Te 0.7418 0.9827 0.7236 1
```

Below is a relaxed structure of CaFeSiPt2, with properties calculated at the PBE level.

Output
The calculation puts the magnetic moment at 0.0000 μB per atom. The theoretical density comes out at 8275 kg/m³. The calculation puts the formation energy without anion corrections at 0.7048 eV per atom. As for the density of states at the Fermi level: 1.4274 states/eV per atom.

Structure (CIF):
```
data_CaFeSiPt2
_chemical_formula_sum 'Ca1 Fe1 Si1 Pt2'
_space_group_name_H-M_alt 'P 1'
_space_group_IT_number 1
_cell_length_a 4.6001
_cell_length_b 4.8760
_cell_length_c 4.6001
_cell_angle_alpha 90.00
_cell_angle_beta 90.00
_cell_angle_gamma 90.00
loop_
_space_group_symop_operation_xyz
'x,y,z'
loop_
_atom_site_label
_atom_site_type_symbol
_atom_site_fract_x
_atom_site_fract_y
_atom_site_fract_z
_atom_site_occupancy
Ca1 Ca 0.0000 0.5000 0.0000 1
Si1 Si 0.5000 0.5000 0.5000 1
Fe1 Fe 0.0000 0.0000 0.0000 1
Pt1 Pt 0.0000 0.0000 0.5000 1
Pt2 Pt 0.5000 0.0000 0.0000 1
```

Below is a relaxed structure of NaSiCl6, with properties calculated at the PBE level.

Output
The calculation puts the magnetic moment at 0.1388 μB per atom. The theoretical density comes out at 2099 kg/m³. The calculation puts the formation energy without anion corrections at -0.9555 eV per atom. As for the density of states at the Fermi level: 1.1716 states/eV per atom.

Structure (CIF):
```
data_NaSiCl6
_chemical_formula_sum 'Na1 Si1 Cl6'
_space_group_name_H-M_alt 'P 1'
_space_group_IT_number 1
_cell_length_a 6.5042
_cell_length_b 6.5007
_cell_length_c 6.8310
_cell_angle_alpha 61.54
_cell_angle_beta 61.51
_cell_angle_gamma 59.94
loop_
_space_group_symop_operation_xyz
'x,y,z'
loop_
_atom_site_label
_atom_site_type_symbol
_atom_site_fract_x
_atom_site_fract_y
_atom_site_fract_z
_atom_site_occupancy
Na1 Na 0.5000 0.5000 0.5000 1
Si1 Si 0.0000 0.0000 0.0000 1
Cl1 Cl 0.0454 0.3667 0.7768 1
Cl2 Cl 0.8105 0.0458 0.7776 1
Cl3 Cl 0.6335 0.1892 0.2235 1
Cl4 Cl 0.1895 0.9542 0.2224 1
Cl5 Cl 0.9546 0.6333 0.2232 1
Cl6 Cl 0.3665 0.8108 0.7765 1
```

Below is a relaxed structure of SiSe2I, with properties calculated at the PBE level.

Output
The calculation puts the magnetic moment at 0.0001 μB per atom. The theoretical density comes out at 4513 kg/m³. The calculation puts the formation energy without anion corrections at 0.0848 eV per atom. As for the density of states at the Fermi level: 1.3208 states/eV per atom.

Structure (CIF):
```
data_SiSe2I
_chemical_formula_sum 'Si2 Se4 I2'
_space_group_name_H-M_alt 'P 1'
_space_group_IT_number 1
_cell_length_a 7.3131
_cell_length_b 7.3131
_cell_length_c 6.7292
_cell_angle_alpha 57.09
_cell_angle_beta 57.09
_cell_angle_gamma 90.00
loop_
_space_group_symop_operation_xyz
'x,y,z'
loop_
_atom_site_label
_atom_site_type_symbol
_atom_site_fract_x
_atom_site_fract_y
_atom_site_fract_z
_atom_site_occupancy
I1 I 0.0000 0.0000 0.0000 1
I2 I 0.7500 0.2500 0.5000 1
Si1 Si 0.5000 0.5000 0.0000 1
Si2 Si 0.2500 0.7500 0.5000 1
Se1 Se 0.5244 0.1250 0.2500 1
Se2 Se 0.2256 0.6250 0.2500 1
Se3 Se 0.3750 0.4756 0.7500 1
Se4 Se 0.8750 0.7744 0.7500 1
```

- Look up the magnetic moment of the sixth one.
  0.0000 μB per atom